1.
# ZrScIrO6, relaxed, DFT GGA-PBE
data_ZrScIrO6
_chemical_formula_sum 'Zr2 Sc2 Ir2 O12'
_cell_length_a 5.2402
_cell_length_b 5.2402
_cell_length_c 9.2922
_cell_angle_alpha 90.00
_cell_angle_beta 90.00
_cell_angle_gamma 120.00
_symmetry_space_group_name_H-M 'P -3 1 c'
_symmetry_Int_Tables_number 163
_symmetry_space_group_name_Hall '-P 3 2c'
loop_
_atom_site_label
_atom_site_type_symbol
_atom_site_fract_x
_atom_site_fract_y
_atom_site_fract_z
_atom_site_occupancy
Zr1 Zr 0.3333 0.6667 0.2500 1
Sc1 Sc 0.0000 0.0000 0.0000 1
Ir1 Ir 0.3333 0.6667 0.7500 1
O1 O 0.0189 0.3479 0.6304 1
# - ΔE_f (raw) (eV/atom) = -2.2347



2.
# Dy3PtSe2, relaxed, DFT GGA-PBE
data_Dy3PtSe2
_chemical_formula_sum 'Dy6 Pt2 Se4'
_cell_length_a 3.969
_cell_length_b 5.867
_cell_length_c 12.705
_cell_angle_alpha 90.00
_cell_angle_beta 90.00
_cell_angle_gamma 90.00
_symmetry_space_group_name_H-M 'I m m m'
_symmetry_Int_Tables_number 71
_symmetry_space_group_name_Hall '-I 2 2'
loop_
_atom_site_label
_atom_site_type_symbol
_atom_site_fract_x
_atom_site_fract_y
_atom_site_fract_z
_atom_site_occupancy
Dy1 Dy 0.000 0.000 0.000 1
Dy2 Dy 0.000 0.000 0.346 1
Pt1 Pt 0.000 0.500 0.000 1
Se1 Se 0.000 0.500 0.329 1
# - offset from the most stable computed form (meV per atom) = 28
# - ΔE_f (raw) (eV/atom) = -1.5599



3.
# LiScAgAs2, relaxed, DFT GGA-PBE
data_LiScAgAs2
_chemical_formula_sum 'Li1 Sc1 Ag1 As2'
_cell_length_a 5.016
_cell_length_b 5.016
_cell_length_c 5.370
_cell_angle_alpha 90.00
_cell_angle_beta 90.00
_cell_angle_gamma 90.00
_symmetry_space_group_name_H-M 'P 4/m m m'
_symmetry_Int_Tables_number 123
_symmetry_space_group_name_Hall '-P 4 2'
loop_
_atom_site_label
_atom_site_type_symbol
_atom_site_fract_x
_atom_site_fract_y
_atom_site_fract_z
_atom_site_occupancy
Li1 Li 0.000 0.000 0.000 1
Sc1 Sc 0.000 0.000 0.500 1
Ag1 Ag 0.500 0.500 0.000 1
As1 As 0.000 0.500 0.500 1
# - formation enthalpy at 0 K (meV/atom) = 323



4.
# Ca2Tb2Cd3, relaxed, DFT GGA-PBE
data_Ca2Tb2Cd3
_chemical_formula_sum 'Ca6 Tb6 Cd9'
_cell_length_a 5.2813
_cell_length_b 5.2813
_cell_length_c 26.2749
_cell_angle_alpha 90.00
_cell_angle_beta 90.00
_cell_angle_gamma 120.00
_symmetry_space_group_name_H-M 'R -3 m'
_symmetry_Int_Tables_number 166
_symmetry_space_group_name_Hall '-R 3 2"'
loop_
_atom_site_label
_atom_site_type_symbol
_atom_site_fract_x
_atom_site_fract_y
_atom_site_fract_z
_atom_site_occupancy
Ca1 Ca 0.0000 0.0000 0.1276 1
Tb1 Tb 0.0000 0.0000 0.3771 1
Cd1 Cd 0.0000 0.0000 0.0000 1
Cd2 Cd 0.0000 0.0000 0.2555 1
# - formation enthalpy at 0 K (meV/atom) = -220



Number 1: energy -8.178 eV/atom. Number 2: energy -6.029 eV/atom. Number 3: energy -3.756 eV/atom. Number 4: energy -2.507 eV/atom.